## YTa2F (PBE)

Data for a geometry-optimized YTa2F structure.

```
YTa2F
1.0
5.6558 0.0000 0.0000
0.0000 5.6558 0.0000
2.8279 2.8279 5.7662
F Ta Y
2 4 2
Cartesian
2.8279 5.6558 2.8831
2.8279 2.8279 0.0000
4.2419 5.6574 4.3247
7.0698 5.6542 4.3247
2.8295 4.2419 1.4416
2.8263 1.4140 1.4416
5.6558 2.8279 2.8831
0.0000 0.0000 0.0000
```

- formation energy without anion corrections (eV per formula unit) = 1.34
- density of states at the Fermi level (states/eV/f.u.) = 5.18
- volume (Å³/f.u.) = 92.22
- space group = No. 141
- total DFT energy (no corrections) (eV/atom) = -7.6750
- energy above the most stable polymorph in this dataset (meV/atom) = 0



## Y2TaF (PBE)

Data for a geometry-optimized Y2TaF structure.

```
Y2TaF
1.0
7.0549 0.0000 0.0000
0.0000 7.0549 0.0000
3.5275 3.5275 3.6911
Y F Ta
4 2 2
Cartesian
4.6600 1.7637 0.9228
8.8187 8.1875 2.7683
2.3949 5.2912 0.9228
5.2912 5.9224 2.7683
3.5275 3.5275 0.0000
3.5275 7.0549 1.8456
7.0549 3.5275 1.8456
0.0000 0.0000 0.0000
```

- formation energy without anion corrections (eV per formula unit) = -2.42
- density of states at the Fermi level (states/eV/f.u.) = 4.00
- volume (Å³/f.u.) = 91.86
- space group = No. 122
- total DFT energy (no corrections) (eV/atom) = -7.2686
- energy above the most stable polymorph in this dataset (meV/atom) = 0



## YTa3F (PBE)

Data for a geometry-optimized YTa3F structure.

```
YTa3F
1.0
-3.3318 -0.3441 3.7556
-2.8951 -2.9782 -2.8412
2.4169 -4.0417 1.7739
F Ta Y
1 3 1
Cartesian
-1.9050 -3.6820 1.3441
1.2085 -2.0209 0.8869
-1.4475 -1.4891 -1.4206
-1.6659 -0.1721 1.8778
0.0000 0.0000 0.0000
```

- formation energy without anion corrections (eV per formula unit) = 12.32
- density of states at the Fermi level (states/eV/f.u.) = 8.47
- volume (Å³/f.u.) = 127.43
- space group = No. 221
- total DFT energy (no corrections) (eV/atom) = -6.3143
- energy above the most stable polymorph in this dataset (meV/atom) = 2293



## Y2TaF (PBE)

Data for a geometry-optimized Y2TaF structure.

```
Y2TaF
1.0
-4.8197 -0.3523 -1.4941
-3.6069 2.5408 2.4740
-2.2637 3.9565 -2.1927
F Y Ta
1 2 1
Cartesian
0.0000 0.0000 0.0000
-2.6726 1.5362 -0.3032
-8.0178 4.6087 -0.9096
-5.3452 3.0725 -0.6064
```

- formation energy without anion corrections (eV per formula unit) = 0.17
- density of states at the Fermi level (states/eV/f.u.) = 5.75
- volume (Å³/f.u.) = 91.51
- space group = No. 225
- total DFT energy (no corrections) (eV/atom) = -6.6193
- energy above the most stable polymorph in this dataset (meV/atom) = 649



## YTaF2 (PBE)

Data for a geometry-optimized YTaF2 structure.

```
YTaF2
1.0
1.7505 0.0000 7.8360
-0.8753 1.5160 7.8360
-0.8753 -1.5160 7.8360
Y F Ta
1 2 1
Cartesian
0.0000 0.0000 11.7539
0.0000 0.0000 21.2971
0.0000 0.0000 2.2108
0.0000 0.0000 0.0000
```

- formation energy without anion corrections (eV per formula unit) = -6.62
- density of states at the Fermi level (states/eV/f.u.) = 3.00
- volume (Å³/f.u.) = 62.39
- space group = No. 166
- total DFT energy (no corrections) (eV/atom) = -7.1704
- energy above the most stable polymorph in this dataset (meV/atom) = 0



## YTa3F (PBE)

Data for a geometry-optimized YTa3F structure.

```
YTa3F
1.0
-3.5507 2.5172 1.1997
-2.7866 -3.2743 -1.3771
0.1023 -1.8235 4.1288
F Ta Y
1 3 1
Cartesian
0.0000 0.0000 0.0000
-1.3933 -1.6372 -0.6885
-1.7753 1.2586 0.5998
0.0511 -0.9117 2.0644
-3.1175 -1.2903 1.9757
```

- formation energy without anion corrections (eV per formula unit) = 0.85
- density of states at the Fermi level (states/eV/f.u.) = 4.69
- volume (Å³/f.u.) = 92.02
- space group = No. 221
- total DFT energy (no corrections) (eV/atom) = -8.6078
- energy above the most stable polymorph in this dataset (meV/atom) = 0



## Y3TaF (PBE)

Data for a geometry-optimized Y3TaF structure.

```
Y3TaF
1.0
4.8298 0.0000 0.0000
0.0000 4.8298 0.0000
0.0000 0.0000 4.8298
Y F Ta
3 1 1
Cartesian
0.0000 2.4149 0.0000
2.4149 0.0000 0.0000
0.0000 0.0000 2.4149
0.0000 0.0000 0.0000
2.4149 2.4149 2.4149
```

- formation energy without anion corrections (eV per formula unit) = -3.27
- density of states at the Fermi level (states/eV/f.u.) = 6.24
- volume (Å³/f.u.) = 112.67
- space group = No. 221
- total DFT energy (no corrections) (eV/atom) = -7.2776
- energy above the most stable polymorph in this dataset (meV/atom) = 0



## YTaF2 (PBE)

Data for a geometry-optimized YTaF2 structure.

```
YTaF2
1.0
2.1609 1.6274 3.6050
0.6840 4.4365 0.4047
-2.2595 2.3542 3.1091
Y F Ta
1 2 1
Cartesian
0.0000 0.0000 0.0000
0.4391 6.3135 5.3390
0.1464 2.1045 1.7797
0.2927 4.2090 3.5594
```

- formation energy without anion corrections (eV per formula unit) = -2.84
- density of states at the Fermi level (states/eV/f.u.) = 4.76
- volume (Å³/f.u.) = 64.74
- space group = No. 225
- total DFT energy (no corrections) (eV/atom) = -6.2258
- energy above the most stable polymorph in this dataset (meV/atom) = 945



- Among the records above, which one has the highest volume?
  number 3